The following is a GGA+U calculation of a relaxed structure of YHoMoO6, from Alexandria via LeMat-Bulk.

Lattice parameters (Å, degrees): 5.4837 5.4837 4.8007 90.00 90.00 120.00
Fractional coordinates of all 9 atoms:
Y 0.0000 0.0000 0.0000
Ho 0.3333 0.6667 0.5000
Mo 0.6667 0.3333 0.5000
O 0.3681 0.0390 0.7269
O 0.3681 0.3291 0.2731
O 0.6709 0.0390 0.2731
O 0.6709 0.6319 0.7269
O 0.9610 0.3291 0.7269
O 0.9610 0.6319 0.2731

Computed properties:
energy	-8.000	eV per atom
magnetization	0.00	μB/cell
SG	No. 149